Entry 1:
The following is a GGA-PBE calculation of a relaxed structure of TlGaAg2Se4, from OQMD.

Crystal system = tetragonal
Energy = -3.454 eV per atom

```
data_TlGaAg2Se4
_chemical_formula_sum 'Tl2 Ga2 Ag4 Se8'
_space_group_name_H-M_alt 'I -4'
_space_group_IT_number 82
_space_group_name_Hall 'I -4'
_cell_length_a 6.171
_cell_length_b 6.171
_cell_length_c 11.773
_cell_angle_alpha 90.00
_cell_angle_beta 90.00
_cell_angle_gamma 90.00
loop_
_atom_site_label
_atom_site_type_symbol
_atom_site_fract_x
_atom_site_fract_y
_atom_site_fract_z
Tl1 Tl 0.000 0.000 0.000
Ga1 Ga 0.000 0.500 0.250
Ag1 Ag 0.000 0.000 0.500
Ag2 Ag 0.000 0.500 0.750
Se1 Se 0.230 0.260 0.366
```

Entry 2:
The following is a GGA-PBE calculation of a relaxed structure of Sm3Ga8Ag3, from OQMD.

Spin magnetization = 0.009 μB per formula unit
Crystal system = orthorhombic
Energy = -3.833 eV per atom

```
data_Sm3Ga8Ag3
_chemical_formula_sum 'Sm6 Ga16 Ag6'
_space_group_name_H-M_alt 'I m m m'
_space_group_IT_number 71
_space_group_name_Hall '-I 2 2'
_cell_length_a 4.366
_cell_length_b 9.591
_cell_length_c 13.188
_cell_angle_alpha 90.00
_cell_angle_beta 90.00
_cell_angle_gamma 90.00
loop_
_atom_site_label
_atom_site_type_symbol
_atom_site_fract_x
_atom_site_fract_y
_atom_site_fract_z
Sm1 Sm 0.000 0.000 0.000
Sm2 Sm 0.000 0.000 0.301
Ga1 Ga 0.000 0.281 0.143
Ga2 Ga 0.000 0.368 0.341
Ag1 Ag 0.000 0.198 0.500
Ag2 Ag 0.000 0.500 0.000
```

Entry 3:
The following is a GGA-PBE calculation of a relaxed structure of SmYGa2Ag2, from OQMD.

Spin magnetization = 0.005 μB per formula unit
Crystal system = hexagonal
Excess energy over the best structure of this formula in the dataset = 0.0000 eV/atom
Energy = -4.323 eV per atom

```
data_SmYGa2Ag2
_chemical_formula_sum 'Sm1 Y1 Ga2 Ag2'
_space_group_name_H-M_alt 'P -6 m 2'
_space_group_IT_number 187
_space_group_name_Hall 'P -6 2'
_cell_length_a 4.6133
_cell_length_b 4.6133
_cell_length_c 7.1420
_cell_angle_alpha 90.00
_cell_angle_beta 90.00
_cell_angle_gamma 120.00
loop_
_atom_site_label
_atom_site_type_symbol
_atom_site_fract_x
_atom_site_fract_y
_atom_site_fract_z
Sm1 Sm 0.0000 0.0000 0.0000
Y1 Y 0.0000 0.0000 0.5000
Ga1 Ga 0.6667 0.3333 0.2828
Ag1 Ag 0.3333 0.6667 0.2419
```

Entry 4:
The following is a GGA-PBE calculation of a relaxed structure of Ga2AgSn2, from OQMD.

Crystal system = tetragonal
Energy = -3.119 eV per atom

```
data_Ga2AgSn2
_chemical_formula_sum 'Ga4 Ag2 Sn4'
_space_group_name_H-M_alt 'I 4/m m m'
_space_group_IT_number 139
_space_group_name_Hall '-I 4 2'
_cell_length_a 4.627
_cell_length_b 4.627
_cell_length_c 11.897
_cell_angle_alpha 90.00
_cell_angle_beta 90.00
_cell_angle_gamma 90.00
loop_
_atom_site_label
_atom_site_type_symbol
_atom_site_fract_x
_atom_site_fract_y
_atom_site_fract_z
Ga1 Ga 0.000 0.500 0.250
Ag1 Ag 0.000 0.000 0.000
Sn1 Sn 0.000 0.000 0.383
```

Entry 5:
The following is a GGA-PBE calculation of a relaxed structure of SrGaAg, from OQMD.

Crystal system = cubic
Energy = -2.269 eV per atom

```
data_SrGaAg
_chemical_formula_sum 'Sr4 Ga4 Ag4'
_space_group_name_H-M_alt 'F -4 3 m'
_space_group_IT_number 216
_space_group_name_Hall 'F -4 2 3'
_cell_length_a 7.298
_cell_length_b 7.298
_cell_length_c 7.298
_cell_angle_alpha 90.00
_cell_angle_beta 90.00
_cell_angle_gamma 90.00
loop_
_atom_site_label
_atom_site_type_symbol
_atom_site_fract_x
_atom_site_fract_y
_atom_site_fract_z
Sr1 Sr 0.000 0.000 0.000
Ga1 Ga 0.250 0.250 0.250
Ag1 Ag 0.250 0.250 0.750
```

Entry 6:
The following is a GGA-PBE calculation of a relaxed structure of SrGa2Ag2, from OQMD.

Crystal system = tetragonal
Energy = -3.006 eV per atom

```
data_SrGa2Ag2
_chemical_formula_sum 'Sr2 Ga4 Ag4'
_space_group_name_H-M_alt 'I 4/m m m'
_space_group_IT_number 139
_space_group_name_Hall '-I 4 2'
_cell_length_a 4.634
_cell_length_b 4.634
_cell_length_c 10.450
_cell_angle_alpha 90.00
_cell_angle_beta 90.00
_cell_angle_gamma 90.00
loop_
_atom_site_label
_atom_site_type_symbol
_atom_site_fract_x
_atom_site_fract_y
_atom_site_fract_z
Sr1 Sr 0.000 0.000 0.000
Ga1 Ga 0.000 0.000 0.377
Ag1 Ag 0.000 0.500 0.250
```

Entry 7:
The following is a GGA-PBE calculation of a relaxed structure of SrGa2Ag2, from OQMD.

Crystal system = tetragonal
Energy = -2.952 eV per atom

```
data_SrGa2Ag2
_chemical_formula_sum 'Sr2 Ga4 Ag4'
_space_group_name_H-M_alt 'I 4/m m m'
_space_group_IT_number 139
_space_group_name_Hall '-I 4 2'
_cell_length_a 4.468
_cell_length_b 4.468
_cell_length_c 11.543
_cell_angle_alpha 90.00
_cell_angle_beta 90.00
_cell_angle_gamma 90.00
loop_
_atom_site_label
_atom_site_type_symbol
_atom_site_fract_x
_atom_site_fract_y
_atom_site_fract_z
Sr1 Sr 0.000 0.000 0.000
Ga1 Ga 0.000 0.500 0.250
Ag1 Ag 0.000 0.000 0.379
```

Entry 8:
The following is a GGA-PBE calculation of a relaxed structure of SrZnGa2Ag, from OQMD.

Crystal system = tetragonal
Energy = -2.706 eV per atom

```
data_SrZnGa2Ag
_chemical_formula_sum 'Sr2 Zn2 Ga4 Ag2'
_space_group_name_H-M_alt 'I -4 m 2'
_space_group_IT_number 119
_space_group_name_Hall 'I -4 -2'
_cell_length_a 4.455
_cell_length_b 4.455
_cell_length_c 10.871
_cell_angle_alpha 90.00
_cell_angle_beta 90.00
_cell_angle_gamma 90.00
loop_
_atom_site_label
_atom_site_type_symbol
_atom_site_fract_x
_atom_site_fract_y
_atom_site_fract_z
Sr1 Sr 0.000 0.000 0.000
Zn1 Zn 0.000 0.500 0.750
Ga1 Ga 0.000 0.000 0.381
Ag1 Ag 0.000 0.500 0.250
```

Entry 9:
The following is a GGA-PBE calculation of a relaxed structure of TaGaAg2, from OQMD.

Spin magnetization = 0.013 μB per formula unit
Crystal system = cubic
Energy = -4.836 eV per atom

```
data_TaGaAg2
_chemical_formula_sum 'Ta4 Ga4 Ag8'
_space_group_name_H-M_alt 'F -4 3 m'
_space_group_IT_number 216
_space_group_name_Hall 'F -4 2 3'
_cell_length_a 6.514
_cell_length_b 6.514
_cell_length_c 6.514
_cell_angle_alpha 90.00
_cell_angle_beta 90.00
_cell_angle_gamma 90.00
loop_
_atom_site_label
_atom_site_type_symbol
_atom_site_fract_x
_atom_site_fract_y
_atom_site_fract_z
Ta1 Ta 0.000 0.000 0.000
Ga1 Ga 0.250 0.250 0.750
Ag1 Ag 0.000 0.000 0.500
Ag2 Ag 0.250 0.250 0.250
```

Entry 10:
The following is a GGA-PBE calculation of a relaxed structure of Tb3Ga8Ag3, from OQMD.

Spin magnetization = 0.008 μB per formula unit
Crystal system = orthorhombic
Energy = -3.796 eV per atom

```
data_Tb3Ga8Ag3
_chemical_formula_sum 'Tb6 Ga16 Ag6'
_space_group_name_H-M_alt 'I m m m'
_space_group_IT_number 71
_space_group_name_Hall '-I 2 2'
_cell_length_a 4.327
_cell_length_b 9.559
_cell_length_c 13.046
_cell_angle_alpha 90.00
_cell_angle_beta 90.00
_cell_angle_gamma 90.00
loop_
_atom_site_label
_atom_site_type_symbol
_atom_site_fract_x
_atom_site_fract_y
_atom_site_fract_z
Tb1 Tb 0.000 0.000 0.000
Tb2 Tb 0.000 0.000 0.301
Ga1 Ga 0.000 0.282 0.144
Ga2 Ga 0.000 0.369 0.341
Ag1 Ag 0.000 0.197 0.500
Ag2 Ag 0.000 0.500 0.000
```

Entry 11:
The following is a GGA-PBE calculation of a relaxed structure of Tb3Ga8Ag3, from OQMD.

Spin magnetization = 0.014 μB per formula unit
Crystal system = orthorhombic
Energy = -3.794 eV per atom

```
data_Tb3Ga8Ag3
_chemical_formula_sum 'Tb6 Ga16 Ag6'
_space_group_name_H-M_alt 'I m m m'
_space_group_IT_number 71
_space_group_name_Hall '-I 2 2'
_cell_length_a 4.340
_cell_length_b 9.516
_cell_length_c 12.965
_cell_angle_alpha 90.00
_cell_angle_beta 90.00
_cell_angle_gamma 90.00
loop_
_atom_site_label
_atom_site_type_symbol
_atom_site_fract_x
_atom_site_fract_y
_atom_site_fract_z
Tb1 Tb 0.000 0.000 0.000
Tb2 Tb 0.000 0.000 0.298
Ga1 Ga 0.000 0.282 0.143
Ga2 Ga 0.000 0.368 0.342
Ag1 Ag 0.000 0.193 0.500
Ag2 Ag 0.000 0.500 0.000
```

Entry 12:
The following is a GGA-PBE calculation of a relaxed structure of Tb3Ga4Ag2, from OQMD.

Spin magnetization = 0.008 μB per formula unit
Crystal system = monoclinic
Energy = -4.074 eV per atom

```
data_Tb3Ga4Ag2
_chemical_formula_sum 'Tb6 Ga8 Ag4'
_space_group_name_H-M_alt 'C 1 2/m 1'
_space_group_IT_number 12
_space_group_name_Hall '-C 2y'
_cell_length_a 10.706
_cell_length_b 4.562
_cell_length_c 8.576
_cell_angle_alpha 90.00
_cell_angle_beta 113.98
_cell_angle_gamma 90.00
loop_
_atom_site_label
_atom_site_type_symbol
_atom_site_fract_x
_atom_site_fract_y
_atom_site_fract_z
Tb1 Tb 0.000 0.000 0.000
Tb2 Tb 0.170 0.500 0.660
Ga1 Ga 0.033 0.000 0.370
Ga2 Ga 0.242 0.500 0.076
Ag1 Ag 0.105 0.500 0.272
```

Question: What is the formula in the second record?
Answer: Sm3Ga8Ag3

Question: What is the energy in the first record?
Answer: -3.454 eV per atom